A plane-wave DFT calculation with PBEsol was carried out for a relaxed structure of Cs2LiOs.

- total magnetic moment (μB/f.u.) = 0.00
- formation energy from the elements (meV/atom) = 1761.0

Cell: 8.871 8.871 8.871 Å, 60.00 60.00 60.00°
Atoms (fractional coordinates):
Os: 0.500 0.500 0.500
Os: 0.750 0.750 0.750
Li: 0.000 0.000 0.000
Cs: 0.625 0.625 0.625
Cs: 0.625 0.625 0.125
Li: 0.250 0.250 0.250
Cs: 0.625 0.125 0.625
Cs: 0.125 0.625 0.625